Entry 1:
SmMg2Cd2Ag2 | PBE-GGA | relaxed

a b c (Å): 4.8921 4.8921 8.0561
angles (deg): 72.32 72.32 60.00
Closest atoms and distances in Å follow each position.
Fractional coordinates of all 7 atoms:
Sm (0.0000, 0.0000, 0.0000)  2 Mg 3.16, 6 Ag 3.25, 6 Cd 3.38
Mg (0.1397, 0.1397, 0.5809)  1 Ag 2.78, 3 Mg 3.08
Mg (0.8603, 0.8603, 0.4191)  1 Ag 2.78, 3 Mg 3.08
Cd (0.5850, 0.5850, 0.2450)  3 Ag 2.83, 3 Mg 3.11
Cd (0.4150, 0.4150, 0.7550)  3 Ag 2.83, 3 Mg 3.11
Ag (0.7376, 0.7376, 0.7871)  1 Mg 2.78, 3 Cd 2.83
Ag (0.2624, 0.2624, 0.2129)  1 Mg 2.78, 3 Cd 2.83

Results
The calculation puts the formation energy at -196 meV/atom. The spin magnetization is 0.0000 μB/atom.

---

Entry 2:
SmMg2CdAg4 | PBE-GGA | relaxed

a b c (Å): 4.7779 4.7779 8.9686
angles (deg): 74.55 74.55 60.00
Closest atoms and distances in Å follow each position.
Fractional coordinates of all 8 atoms:
Sm (0.0000, 0.0000, 0.0000)  8 Ag 3.12-3.21
Mg (0.7547, 0.7547, 0.7359)  7 Ag 2.87-3.07
Mg (0.2453, 0.2453, 0.2641)  7 Ag 2.87-3.07
Cd (0.5000, 0.5000, 0.5000)  8 Ag 2.82-2.96
Ag (0.3900, 0.3900, 0.8300)  1 Cd 2.82, 3 Mg 2.87, 3 Sm 3.12
Ag (0.8748, 0.8748, 0.3756)  4 Mg 2.92-3.07, 3 Cd 2.96, 1 Sm 3.21
Ag (0.1252, 0.1252, 0.6244)  4 Mg 2.92-3.07, 3 Cd 2.96, 1 Sm 3.21
Ag (0.6100, 0.6100, 0.1700)  1 Cd 2.82, 3 Mg 2.87, 3 Sm 3.12

Results
The calculation puts the formation energy at -179 meV/atom. The spin magnetization is 0.0000 μB/atom.

---

Entry 3:
SmMgCd2Ag4 | PBE-GGA | relaxed

a b c (Å): 4.8656 4.8656 8.5739
angles (deg): 73.52 73.52 60.00
Closest atoms and distances in Å follow each position.
Fractional coordinates of all 8 atoms:
Sm (0.0000, 0.0000, 0.0000)  8 Ag 3.09-3.16, 6 Cd 3.44
Mg (0.5000, 0.5000, 0.5000)  8 Ag 2.76-2.95
Cd (0.7485, 0.7485, 0.7545)  7 Ag 2.89-3.04
Cd (0.2515, 0.2515, 0.2455)  7 Ag 2.89-3.04
Ag (0.3864, 0.3864, 0.8409)  1 Mg 2.76, 3 Cd 2.89, 3 Sm 3.09
Ag (0.8702, 0.8702, 0.3895)  3 Mg 2.95, 4 Cd 2.96-3.04, 1 Sm 3.16
Ag (0.1298, 0.1298, 0.6105)  3 Mg 2.95, 4 Cd 2.96-3.04, 1 Sm 3.16
Ag (0.6136, 0.6136, 0.1591)  1 Mg 2.76, 3 Cd 2.89, 3 Sm 3.09

Results
The calculation puts the formation energy at -193 meV/atom. The spin magnetization is 0.0000 μB/atom.

---

Entry 4:
Mg5CdAg2Sn2 | PBE-GGA | relaxed

a b c (Å): 3.5526 11.2502 11.2502
angles (deg): 90.00 90.00 90.00
Closest atoms and distances in Å follow each position.
Fractional coordinates of all 20 atoms:
Mg (0.5000, 0.2099, 0.0289)  2 Ag 2.76, 2 Cd 2.97
Mg (0.5000, 0.7901, 0.9711)  2 Ag 2.76, 2 Cd 2.97
Mg (0.5000, 0.0289, 0.7901)  2 Ag 2.76, 2 Cd 2.97
Mg (0.5000, 0.7099, 0.4711)  2 Ag 2.76, 2 Cd 2.97
Mg (0.5000, 0.9711, 0.2099)  2 Ag 2.76, 2 Cd 2.97
Mg (0.5000, 0.2901, 0.5289)  2 Ag 2.76, 2 Cd 2.97
Mg (0.5000, 0.5289, 0.7099)  2 Ag 2.76, 2 Cd 2.97
Mg (0.5000, 0.4711, 0.2901)  2 Ag 2.76, 2 Cd 2.97
Mg (0.5000, 0.5000, 0.0000)  4 Ag 2.78
Mg (0.5000, 0.0000, 0.5000)  4 Ag 2.78
Cd (0.0000, 0.0000, 0.0000)  8 Mg 2.97
Cd (0.0000, 0.5000, 0.5000)  8 Mg 2.97
Ag (0.0000, 0.1347, 0.6347)  6 Mg 2.76-2.78, 1 Sn 2.94
Ag (0.0000, 0.8653, 0.3653)  6 Mg 2.76-2.78, 1 Sn 2.94
Ag (0.0000, 0.6347, 0.8653)  6 Mg 2.76-2.78, 1 Sn 2.94
Ag (0.0000, 0.3653, 0.1347)  6 Mg 2.76-2.78, 1 Sn 2.94
Sn (0.0000, 0.6807, 0.1807)  1 Ag 2.94, 4 Mg 3.20
Sn (0.0000, 0.3193, 0.8193)  1 Ag 2.94, 4 Mg 3.20
Sn (0.0000, 0.1807, 0.3193)  1 Ag 2.94, 4 Mg 3.20
Sn (0.0000, 0.8193, 0.6807)  1 Ag 2.94, 4 Mg 3.20

Results
The calculation puts the formation energy at -73 meV/atom. The spin magnetization is 0.0000 μB/atom.

---

Entry 5:
Mg5Cd2Ag2Sn | PBE-GGA | relaxed

a b c (Å): 3.4892 11.3997 11.3997
angles (deg): 90.00 90.00 90.00
Closest atoms and distances in Å follow each position.
Fractional coordinates of all 20 atoms:
Mg (0.5000, 0.2115, 0.0316)  2 Ag 2.74, 2 Sn 3.00
Mg (0.5000, 0.7885, 0.9684)  2 Ag 2.74, 2 Sn 3.00
Mg (0.5000, 0.0316, 0.7885)  2 Ag 2.74, 2 Sn 3.00
Mg (0.5000, 0.7115, 0.4684)  2 Ag 2.74, 2 Sn 3.00
Mg (0.5000, 0.9684, 0.2115)  2 Ag 2.74, 2 Sn 3.00
Mg (0.5000, 0.2885, 0.5316)  2 Ag 2.74, 2 Sn 3.00
Mg (0.5000, 0.5316, 0.7115)  2 Ag 2.74, 2 Sn 3.00
Mg (0.5000, 0.4684, 0.2885)  2 Ag 2.74, 2 Sn 3.00
Mg (0.5000, 0.5000, 0.0000)  4 Ag 2.77
Mg (0.5000, 0.0000, 0.5000)  4 Ag 2.77
Cd (0.0000, 0.6844, 0.1844)  1 Ag 2.94, 4 Mg 3.24
Cd (0.0000, 0.3156, 0.8156)  1 Ag 2.94, 4 Mg 3.24
Cd (0.0000, 0.1844, 0.3156)  1 Ag 2.94, 4 Mg 3.24
Cd (0.0000, 0.8156, 0.6844)  1 Ag 2.94, 4 Mg 3.24
Ag (0.0000, 0.1333, 0.6333)  6 Mg 2.74-2.77, 1 Cd 2.94
Ag (0.0000, 0.8667, 0.3667)  6 Mg 2.74-2.77, 1 Cd 2.94
Ag (0.0000, 0.6333, 0.8667)  6 Mg 2.74-2.77, 1 Cd 2.94
Ag (0.0000, 0.3667, 0.1333)  6 Mg 2.74-2.77, 1 Cd 2.94
Sn (0.0000, 0.0000, 0.0000)  8 Mg 3.00
Sn (0.0000, 0.5000, 0.5000)  8 Mg 3.00

Results
The calculation puts the formation energy at -48 meV/atom. The spin magnetization is 0.0000 μB/atom.

---

Entry 6:
Mg2Cd2Ag2Sn | PBE-GGA | relaxed

a b c (Å): 4.0378 5.3063 7.4853
angles (deg): 92.68 90.00 112.36
Closest atoms and distances in Å follow each position.
Fractional coordinates of all 7 atoms:
Mg (0.5674, 0.1348, 0.6908)  5 Ag 2.87-3.06, 3 Cd 3.02-3.07, 1 Mg 3.09, 2 Sn 3.17
Mg (0.4326, 0.8652, 0.3092)  5 Ag 2.87-3.06, 3 Cd 3.02-3.07, 1 Mg 3.09, 2 Sn 3.17
Cd (0.7163, 0.4325, 0.1714)  3 Ag 2.97-3.14, 3 Mg 3.02-3.07, 3 Sn 3.12-3.15
Cd (0.2837, 0.5675, 0.8286)  3 Ag 2.97-3.14, 3 Mg 3.02-3.07, 3 Sn 3.12-3.15
Ag (0.1434, 0.2868, 0.4424)  5 Mg 2.87-3.06, 3 Cd 2.97-3.14, 3 Ag 2.99-3.00
Ag (0.8566, 0.7132, 0.5576)  5 Mg 2.87-3.06, 3 Cd 2.97-3.14, 3 Ag 2.99-3.00
Sn (0.0000, 0.0000, 0.0000)  6 Cd 3.12-3.15, 4 Mg 3.17

Results
The calculation puts the formation energy at -88 meV/atom. The spin magnetization is 0.0000 μB/atom.

---

Entry 7:
Mg2CdAg7Sn2 | PBE-GGA | relaxed

a b c (Å): 4.4248 4.4248 13.9551
angles (deg): 72.34 72.34 93.01
Closest atoms and distances in Å follow each position.
Fractional coordinates of all 12 atoms:
Mg (0.8062, 0.8062, 0.6939)  6 Ag 2.83-2.92, 2 Sn 3.04-3.06
Mg (0.1938, 0.1938, 0.3061)  6 Ag 2.83-2.92, 2 Sn 3.04-3.06
Cd (0.0000, 0.0000, 0.0000)  12 Ag 2.93-3.21
Ag (0.5000, 0.5000, 0.0000)  8 Ag 2.94, 4 Cd 3.05-3.21
Ag (0.2397, 0.2397, 0.4993)  2 Mg 2.83, 2 Sn 2.87-2.88, 1 Ag 2.91
Ag (0.7603, 0.7603, 0.5007)  2 Mg 2.83, 2 Sn 2.87-2.88, 1 Ag 2.91
Ag (0.8447, 0.3459, 0.1544)  2 Mg 2.91-2.92, 2 Sn 2.93-2.95, 2 Cd 2.93-2.94, 6 Ag 2.94-3.22
Ag (0.3459, 0.8447, 0.1544)  2 Mg 2.91-2.92, 2 Sn 2.93-2.95, 2 Cd 2.93-2.94, 6 Ag 2.94-3.22
Ag (0.6541, 0.1553, 0.8456)  2 Mg 2.91-2.92, 2 Sn 2.93-2.95, 2 Cd 2.93-2.94, 6 Ag 2.94-3.22
Ag (0.1553, 0.6541, 0.8456)  2 Mg 2.91-2.92, 2 Sn 2.93-2.95, 2 Cd 2.93-2.94, 6 Ag 2.94-3.22
Sn (0.6926, 0.6926, 0.3089)  6 Ag 2.87-2.95, 2 Mg 3.04-3.06
Sn (0.3074, 0.3074, 0.6911)  6 Ag 2.87-2.95, 2 Mg 3.04-3.06

Results
The calculation puts the formation energy at -46 meV/atom. The spin magnetization is 0.0000 μB/atom.

---

Entry 8:
Mg2Cd2Ag5Sn | PBE-GGA | relaxed

a b c (Å): 4.4337 9.6076 9.6076
angles (deg): 90.00 90.00 90.00
Closest atoms and distances in Å follow each position.
Fractional coordinates of all 20 atoms:
Mg (0.0000, 0.1206, 0.6206)  6 Ag 2.76-2.85, 3 Cd 2.79-2.88
Mg (0.0000, 0.8794, 0.3794)  6 Ag 2.76-2.85, 3 Cd 2.79-2.88
Mg (0.0000, 0.6206, 0.8794)  6 Ag 2.76-2.85, 3 Cd 2.79-2.88
Mg (0.0000, 0.3794, 0.1206)  6 Ag 2.76-2.85, 3 Cd 2.79-2.88
Cd (0.0000, 0.6739, 0.1739)  3 Mg 2.79-2.88
Cd (0.0000, 0.3261, 0.8261)  3 Mg 2.79-2.88
Cd (0.0000, 0.1739, 0.3261)  3 Mg 2.79-2.88
Cd (0.0000, 0.8261, 0.6739)  3 Mg 2.79-2.88
Ag (0.5000, 0.1952, 0.0934)  2 Mg 2.85, 4 Ag 2.87-3.06, 2 Sn 3.04, 2 Cd 3.15
Ag (0.5000, 0.8048, 0.9066)  2 Mg 2.85, 4 Ag 2.87-3.06, 2 Sn 3.04, 2 Cd 3.15
Ag (0.5000, 0.0934, 0.8048)  2 Mg 2.85, 4 Ag 2.87-3.06, 2 Sn 3.04, 2 Cd 3.15
Ag (0.5000, 0.6952, 0.4066)  2 Mg 2.85, 4 Ag 2.87-3.06, 2 Sn 3.04, 2 Cd 3.15
Ag (0.5000, 0.9066, 0.1952)  2 Mg 2.85, 4 Ag 2.87-3.06, 2 Sn 3.04, 2 Cd 3.15
Ag (0.5000, 0.3048, 0.5934)  2 Mg 2.85, 4 Ag 2.87-3.06, 2 Sn 3.04, 2 Cd 3.15
Ag (0.5000, 0.5934, 0.6952)  2 Mg 2.85, 4 Ag 2.87-3.06, 2 Sn 3.04, 2 Cd 3.15
Ag (0.5000, 0.4066, 0.3048)  2 Mg 2.85, 4 Ag 2.87-3.06, 2 Sn 3.04, 2 Cd 3.15
Ag (0.5000, 0.5000, 0.0000)  4 Mg 2.76, 4 Ag 3.06
Ag (0.5000, 0.0000, 0.5000)  4 Mg 2.76, 4 Ag 3.06
Sn (0.0000, 0.0000, 0.0000)  8 Ag 3.04
Sn (0.0000, 0.5000, 0.5000)  8 Ag 3.04

Results
The calculation puts the formation energy at -4 meV/atom. The spin magnetization is 0.0000 μB/atom.

---

Entry 9:
Sr2Mg12CdAg3 | PBE-GGA | relaxed

a b c (Å): 7.7668 7.7668 7.7668
angles (deg): 84.82 84.82 84.82
Closest atoms and distances in Å follow each position.
Fractional coordinates of all 18 atoms:
Sr (0.6289, 0.6289, 0.6289)  9 Mg 3.19-3.46
Sr (0.3711, 0.3711, 0.3711)  9 Mg 3.19-3.46
Mg (0.3772, 0.3772, 0.9248)  2 Mg 2.96-3.18, 2 Ag 3.02
Mg (0.8176, 0.8176, 0.2920)  1 Ag 2.79, 1 Cd 2.89, 3 Mg 2.96
Mg (0.2920, 0.8176, 0.8176)  1 Ag 2.79, 1 Cd 2.89, 3 Mg 2.96
Mg (0.9248, 0.3772, 0.3772)  2 Mg 2.96-3.18, 2 Ag 3.02
Mg (0.8176, 0.2920, 0.8176)  1 Ag 2.79, 1 Cd 2.89, 3 Mg 2.96
Mg (0.3772, 0.9248, 0.3772)  2 Mg 2.96-3.18, 2 Ag 3.02
Mg (0.6228, 0.6228, 0.0752)  2 Mg 2.96-3.18, 2 Ag 3.02
Mg (0.1824, 0.1824, 0.7080)  1 Ag 2.79, 1 Cd 2.89, 3 Mg 2.96
Mg (0.7080, 0.1824, 0.1824)  1 Ag 2.79, 1 Cd 2.89, 3 Mg 2.96
Mg (0.0752, 0.6228, 0.6228)  2 Mg 2.96-3.18, 2 Ag 3.02
Mg (0.1824, 0.7080, 0.1824)  1 Ag 2.79, 1 Cd 2.89, 3 Mg 2.96
Mg (0.6228, 0.0752, 0.6228)  2 Mg 2.96-3.18, 2 Ag 3.02
Cd (0.0000, 0.0000, 0.0000)  6 Mg 2.89
Ag (0.5000, 0.0000, 0.0000)  6 Mg 2.79-3.02
Ag (0.0000, 0.5000, 0.0000)  6 Mg 2.79-3.02
Ag (0.0000, 0.0000, 0.5000)  6 Mg 2.79-3.02

Results
The calculation puts the formation energy at 93 meV/atom. The spin magnetization is 0.0000 μB/atom.

---

Entry 10:
SrMg4CdAg2 | PBE-GGA | relaxed

a b c (Å): 4.7788 4.7788 10.2150
angles (deg): 76.47 76.47 60.00
Closest atoms and distances in Å follow each position.
Fractional coordinates of all 8 atoms:
Sr (0.0000, 0.0000, 0.0000)  8 Mg 3.48-3.86, 6 Ag 3.83
Mg (0.4053, 0.4053, 0.7841)  1 Cd 2.79, 3 Ag 2.81
Mg (0.8693, 0.8693, 0.3922)  3 Cd 2.96, 3 Ag 3.01, 3 Mg 3.26
Mg (0.1307, 0.1307, 0.6078)  3 Cd 2.96, 3 Ag 3.01, 3 Mg 3.26
Mg (0.5947, 0.5947, 0.2159)  1 Cd 2.79, 3 Ag 2.81
Cd (0.5000, 0.5000, 0.5000)  8 Mg 2.79-2.96
Ag (0.7568, 0.7568, 0.7297)  6 Mg 2.81-3.01
Ag (0.2432, 0.2432, 0.2703)  6 Mg 2.81-3.01

Results
The calculation puts the formation energy at -115 meV/atom. The spin magnetization is 0.0000 μB/atom.

---

Number 1: total DFT energy (no corrections) -2.40 eV per atom. Number 2: total DFT energy (no corrections) -2.71 eV per atom. Number 3: total DFT energy (no corrections) -2.64 eV per atom. Number 4: total DFT energy (no corrections) -2.33 eV per atom. Number 5: total DFT energy (no corrections) -2.00 eV per atom. Number 6: total DFT energy (no corrections) -2.19 eV per atom. Number 7: total DFT energy (no corrections) -2.72 eV per atom. Number 8: total DFT energy (no corrections) -2.33 eV per atom. Number 9: total DFT energy (no corrections) -1.68 eV per atom. Number 10: total DFT energy (no corrections) -1.95 eV per atom.